1.
An optimized crystal structure of BaLiCd3, computed with PBE-GGA.

a = 5.221 Å, b = 5.221 Å, c = 5.221 Å
α = 90.00°, β = 90.00°, γ = 90.00°
Space group Pm-3m (No. 221)
One atom of each set of equivalent atoms:
Ba 0.000 0.000 0.000 (multiplicity 1)
Li 0.500 0.500 0.500 (multiplicity 1)
Cd 0.000 0.500 0.500 (multiplicity 3)

electronic total energy	-1.50	eV per atom
ΔH_f (0 K)	-0.9	eV per formula unit
calculated density	5.6	g cm⁻³
E above lowest polymorph	46	meV per atom

***

2.
An optimized crystal structure of Ba2LiCd, computed with PBE-GGA.

a = 8.612 Å, b = 4.975 Å, c = 8.864 Å
α = 90.00°, β = 108.96°, γ = 90.00°
Space group Cm (No. 8)
One atom of each set of equivalent atoms:
Ba 0.000 0.000 0.000 (multiplicity 2)
Ba 0.180 0.000 0.541 (multiplicity 2)
Li 0.424 0.000 0.270 (multiplicity 2)
Cd 0.257 0.500 0.269 (multiplicity 2)

electronic total energy	-1.80	eV per atom
ΔH_f (0 K)	-0.5	eV per formula unit
calculated density	3.6	g cm⁻³

***

3.
An optimized crystal structure of BaLi2Cd6, computed with PBE-GGA.

a = 3.669 Å, b = 8.734 Å, c = 14.589 Å
α = 90.00°, β = 90.00°, γ = 90.00°
Space group Immm (No. 71)
One atom of each set of equivalent atoms:
Ba 0.000 0.000 0.000 (multiplicity 2)
Li 0.000 0.500 0.142 (multiplicity 4)
Cd 0.000 0.160 0.500 (multiplicity 4)
Cd 0.000 0.319 0.319 (multiplicity 8)

electronic total energy	-1.41	eV per atom
ΔH_f (0 K)	-1.4	eV per formula unit
calculated density	5.9	g cm⁻³

***

4.
An optimized crystal structure of Ba2LiCd2, computed with PBE-GGA.

a = 9.897 Å, b = 9.897 Å, c = 4.081 Å
α = 90.00°, β = 90.00°, γ = 90.00°
Space group P4/mbm (No. 127)
One atom of each set of equivalent atoms:
Ba 0.155 0.345 0.000 (multiplicity 4)
Li 0.000 0.000 0.000 (multiplicity 2)
Cd 0.137 0.637 0.500 (multiplicity 4)

electronic total energy	-1.57	eV per atom
ΔH_f (0 K)	-0.3	eV per formula unit
calculated density	4.2	g cm⁻³
E above lowest polymorph	188	meV per atom